# 1
Hf4ScGa4: optimized geometry, GGA-PBE.

The structure belongs to space group P4_2/n (No. 86, origin choice 2); the cell edges are 8.5296, 8.5296 and 5.4152 Å and the angles 90.00°, 90.00° and 90.00°. The asymmetric unit holds Hf at (0.0895, 0.6555, 0.1249), Sc at (0.2500, 0.2500, 0.2500) and Ga at (0.0235, 0.6146, 0.6337).

The value obtained for the energy of formation from the pure elements is -0.133 eV/atom.

=====

# 2
TlCo2Sb: optimized geometry, GGA-PBE.

The structure belongs to space group P2/m (No. 10); the cell edges are 3.2920, 3.0771 and 7.0699 Å and the angles 90.00°, 98.17° and 90.00°. The asymmetric unit holds Tl at (0.0000, 0.0000, 0.0000), Co at (0.0578, 0.5000, 0.6896) and Sb at (0.5000, 0.0000, 0.5000).

For the energy above the lowest structure with this stoichiometry, the calculation gives 0.094 eV per atom. The uncorrected formation energy comes out at 0.35 eV per atom.

=====

# 3
RbZn2CdCu: optimized geometry, GGA-PBE.

The structure belongs to space group P4/mmm (No. 123); the cell edges are 4.9277, 4.9277 and 5.2012 Å and the angles 90.00°, 90.00° and 90.00°. The asymmetric unit holds Rb at (0.0000, 0.0000, 0.0000), Zn at (0.0000, 0.5000, 0.5000), Cd at (0.5000, 0.5000, 0.0000) and Cu at (0.5000, 0.5000, 0.5000).

The value obtained for the energy of formation from the pure elements is 0.121 eV/atom.

=====

| no. | total moment (μB per formula unit) |
| --- | --- |
| 1 | 0.00 |
| 2 | 0.91 |
| 3 | 0.00 |